Record 1
Entry from Alexandria via LeMat-Bulk: an optimized crystal structure of Nd12Co6Ge (PBE-GGA).

Cell: 8.6152 8.6152 8.6152 Å, 109.47 109.47 109.47°
Fractional positions:
Nd: 0.1114 0.3033 0.8081
Nd: 0.1919 0.4952 0.3033
Nd: 0.1919 0.8886 0.6967
Nd: 0.3033 0.1919 0.4952
Nd: 0.3033 0.8081 0.1114
Nd: 0.4952 0.3033 0.1919
Nd: 0.5048 0.6967 0.8081
Nd: 0.6967 0.1919 0.8886
Nd: 0.6967 0.8081 0.5048
Nd: 0.8081 0.1114 0.3033
Nd: 0.8081 0.5048 0.6967
Nd: 0.8886 0.6967 0.1919
Co: 0.1119 0.5000 0.6119
Co: 0.3881 0.8881 0.5000
Co: 0.5000 0.3881 0.8881
Co: 0.5000 0.6119 0.1119
Co: 0.6119 0.1119 0.5000
Co: 0.8881 0.5000 0.3881
Ge: 0.0000 0.0000 0.0000

Computed properties:
As for the crystal system: cubic. The uncorrected energy comes out at -5.6436 eV/atom. Its symmetry is Im-3, No. 204. The formation energy is -145.3 meV/atom. Its density of states at the Fermi level is 11.87 states/eV per cell.

---

Record 2
Entry from Alexandria via LeMat-Bulk: an optimized crystal structure of Fe2GeTe2 (PBE-GGA).

Cell: 7.2934 7.2934 3.6601 Å, 90.00 90.00 90.00°
Fractional positions:
Fe: 0.1185 0.3815 0.0000
Fe: 0.3815 0.8815 0.0000
Fe: 0.6185 0.1185 0.0000
Fe: 0.8815 0.6185 0.0000
Ge: 0.0000 0.0000 0.0000
Ge: 0.5000 0.5000 0.0000
Te: 0.1674 0.6674 0.5000
Te: 0.3326 0.1674 0.5000
Te: 0.6674 0.8326 0.5000
Te: 0.8326 0.3326 0.5000

Computed properties:
As for the crystal system: tetragonal. The uncorrected energy comes out at -5.2128 eV/atom. Its symmetry is P4/mbm, No. 127. For the raw formation energy, the calculation gives 1.76 eV per formula unit. Its density of states at the Fermi level is 12.24 states/eV per cell.

---

Record 3
Entry from Alexandria via LeMat-Bulk: an optimized crystal structure of Ac4Rh2I (PBE-GGA).

Cell: 15.8261 15.8261 15.8261 Å, 15.87 15.87 15.87°
Fractional positions:
Ac: 0.1262 0.1262 0.1262
Ac: 0.2749 0.2749 0.2749
Ac: 0.7251 0.7251 0.7251
Ac: 0.8738 0.8738 0.8738
Rh: 0.4260 0.4260 0.4260
Rh: 0.5740 0.5740 0.5740
I: 0.0000 0.0000 0.0000

Computed properties:
As for the crystal system: trigonal. The uncorrected energy comes out at -5.4928 eV/atom. Its symmetry is R-3m, No. 166. For the raw formation energy, the calculation gives -5.76 eV per formula unit. Its density of states at the Fermi level is 4.86 states/eV per cell.

---

Record 4
Entry from Alexandria via LeMat-Bulk: an optimized crystal structure of Cs2Te2Rh (PBE-GGA).

Cell: 7.3083 7.3083 6.2902 Å, 90.00 90.00 90.00°
Fractional positions:
Cs: 0.1721 0.3279 0.0000
Cs: 0.3279 0.8279 0.0000
Cs: 0.6721 0.1721 0.0000
Cs: 0.8279 0.6721 0.0000
Te: 0.1560 0.6560 0.5000
Te: 0.3440 0.1560 0.5000
Te: 0.6560 0.8440 0.5000
Te: 0.8440 0.3440 0.5000
Rh: 0.0000 0.0000 0.5000
Rh: 0.5000 0.5000 0.5000

Computed properties:
As for the crystal system: tetragonal. The uncorrected energy comes out at -3.4597 eV/atom. Its symmetry is P4/mbm, No. 127. For the raw formation energy, the calculation gives -1.96 eV per formula unit. Its density of states at the Fermi level is 9.88 states/eV per cell.

---

Record 5
Entry from Alexandria via LeMat-Bulk: an optimized crystal structure of MnCuCl2 (PBE-GGA).

Cell: 3.2273 3.2273 7.5583 Å, 90.00 90.00 90.00°
Fractional positions:
Mn: 0.0000 0.0000 0.0000
Cu: 0.5000 0.5000 0.7997
Cl: 0.0000 0.0000 0.6486
Cl: 0.5000 0.5000 0.1905

Computed properties:
As for the crystal system: tetragonal. The uncorrected energy comes out at -4.4894 eV/atom. Its symmetry is P4mm, No. 99. For the raw formation energy, the calculation gives -1.00 eV per formula unit. Its density of states at the Fermi level is 0.76 states/eV per cell.

---

Record 6
Entry from Alexandria via LeMat-Bulk: an optimized crystal structure of Y2FePt (PBE-GGA).

Cell: 9.4146 9.4146 9.4146 Å, 151.79 151.79 40.31°
Fractional positions:
Y: 0.1147 0.6250 0.9897
Y: 0.3750 0.3647 0.4897
Y: 0.6353 0.1250 0.0103
Y: 0.8750 0.8853 0.5103
Fe: 0.0000 0.0000 0.0000
Fe: 0.7500 0.2500 0.5000
Pt: 0.2500 0.7500 0.5000
Pt: 0.5000 0.5000 0.0000

Computed properties:
As for the crystal system: tetragonal. The uncorrected energy comes out at -6.4552 eV/atom. Its symmetry is I-42d, No. 122. The formation energy is 402.7 meV/atom. Its density of states at the Fermi level is 7.79 states/eV per cell.